# 1
TbUAs2Rh5 | PBE-GGA | optimized geometry

ΔE_f in kJ/mol of atoms: -41.7

Cell lengths 3.956, 3.956, 11.503 Å; angles 90.00, 90.00, 90.00 degrees
Fractional positions:
1 U 0.000 0.000 0.000
2 Rh 0.000 0.000 0.500
3 As 0.000 0.000 0.294
4 Tb 0.500 0.500 0.500
5 Rh 0.000 0.500 0.842
6 As 0.000 0.000 0.706
7 Rh 0.500 0.000 0.158
8 Rh 0.500 0.000 0.842
9 Rh 0.000 0.500 0.158



# 2
Tb3UAs2Rh9 | PBE-GGA | optimized geometry

ΔE_f in kJ/mol of atoms: -46.5

Cell lengths 6.188, 6.188, 9.401 Å; angles 90.00, 90.00, 120.00 degrees
Fractional positions:
1 Rh 0.711 0.856 0.287
2 U 0.000 0.000 0.500
3 Tb 0.333 0.667 0.733
4 As 0.333 0.667 0.168
5 As 0.667 0.333 0.832
6 Rh 0.000 0.500 0.000
7 Rh 0.144 0.289 0.287
8 Rh 0.144 0.856 0.287
9 Tb 0.000 0.000 0.000
10 Tb 0.667 0.333 0.267
11 Rh 0.500 0.500 0.000
12 Rh 0.856 0.711 0.713
13 Rh 0.856 0.144 0.713
14 Rh 0.289 0.144 0.713
15 Rh 0.500 0.000 0.000